Density functional theory data (GGA-PBE) for crystalline TbThTl at its relaxed geometry.

Results
* spin magnetization: 0.0 Bohr magnetons per cell
* space-group type: I4/mmm, No. 139
* formation energy from the elements: -144 meV/atom
* ρ: 10629 kg/m³
* total DFT energy (no corrections): -4.9494 eV/atom

Lattice parameters (Å, degrees): 9.2552 9.2552 9.2552 150.99 150.99 41.49
Atoms (fractional coordinates):
Tl1 0.3577 0.3577 0.0000
Tl2 0.6423 0.6423 0.0000
Th1 0.5000 0.0000 0.5000
Th2 0.0000 0.5000 0.5000
Tb1 0.8221 0.8221 0.0000
Tb2 0.1779 0.1779 0.0000